## w
Entry from Alexandria: a relaxed Nd3YRu crystal (GGA-PBE).

Results
N(E_F)	13.9	states/eV/cell
space-group type	No. 31
spin magnetization	0.00	μB/atom

Cell lengths 6.4015, 6.5922, 7.7918 Å; angles 90.00, 90.00, 90.00 degrees
Fractional coordinates of all 10 atoms:
Nd (0.4229, 0.3331, 0.2008)
Nd (0.4255, 0.8587, 0.9501)
Nd (0.9255, 0.4941, 0.4501)
Nd (0.9230, 0.0197, 0.7007)
Nd (0.9255, 0.4941, 0.9514)
Nd (0.4255, 0.8587, 0.4514)
Y (0.4285, 0.3413, 0.7009)
Y (0.9284, 0.0115, 0.2007)
Ru (0.1758, 0.6745, 0.7008)
Ru (0.6758, 0.6783, 0.2008)

=====

## x
Entry from Alexandria: a relaxed Nd3YRu crystal (GGA-PBE).

Results
N(E_F)	8.5	states/eV/cell
space-group type	No. 221
spin magnetization	0.00	μB/atom

Cell lengths 5.5315, 5.5315, 5.5315 Å; angles 90.00, 90.00, 90.00 degrees
Fractional coordinates of all 5 atoms:
Y (0.5000, 0.5000, 0.5000)
Ru (0.0000, 0.0000, 0.0000)
Nd (0.0000, 0.5000, 0.0000)
Nd (0.0000, 0.0000, 0.5000)
Nd (0.5000, 0.0000, 0.0000)

=====

w wins, 10.1 kJ/mol of atoms ahead of the next structure.

=====

## w
Entry from Alexandria: a relaxed NdZn3Ru crystal (GGA-PBE).

Results
N(E_F)	13.1	states/eV/cell
space-group type	No. 74
spin magnetization	0.00	μB/atom

Cell lengths 5.0055, 9.2256, 8.3668 Å; angles 90.00, 90.00, 90.00 degrees
Fractional coordinates of all 20 atoms:
Nd (0.5000, 0.4753, 0.7500)
Nd (0.0000, 0.9753, 0.2500)
Nd (0.5000, 0.5247, 0.2500)
Nd (0.0000, 0.0247, 0.7500)
Zn (0.7500, 0.2500, 0.9954)
Zn (0.7500, 0.7500, 0.4954)
Zn (0.7500, 0.7500, 0.0046)
Zn (0.2500, 0.7500, 0.4954)
Zn (0.2500, 0.7500, 0.0046)
Zn (0.2500, 0.2500, 0.5046)
Zn (0.2500, 0.2500, 0.9954)
Zn (0.7500, 0.2500, 0.5046)
Zn (0.5000, 0.8351, 0.7500)
Zn (0.0000, 0.3351, 0.2500)
Zn (0.5000, 0.1649, 0.2500)
Zn (0.0000, 0.6649, 0.7500)
Ru (0.0000, 0.5000, 0.0000)
Ru (0.5000, 0.0000, 0.5000)
Ru (0.5000, 0.0000, 0.0000)
Ru (0.0000, 0.5000, 0.5000)

=====

## x
Entry from Alexandria: a relaxed NdZn3Ru crystal (GGA-PBE).

Results
N(E_F)	6.0	states/eV/cell
space-group type	No. 63
spin magnetization	0.00	μB/atom

Cell lengths 5.2940, 5.8154, 6.7203 Å; angles 115.64, 90.00, 90.00 degrees
Fractional coordinates of all 10 atoms:
Nd (0.2500, 0.3932, 0.7864)
Nd (0.7500, 0.6068, 0.2136)
Zn (0.2500, 0.8102, 0.6203)
Zn (0.7500, 0.1898, 0.3797)
Zn (0.2500, 0.3792, 0.2886)
Zn (0.7500, 0.6208, 0.7114)
Zn (0.2500, 0.9094, 0.2886)
Zn (0.7500, 0.0906, 0.7114)
Ru (0.0000, 0.0000, 0.0000)
Ru (0.5000, 0.0000, 0.0000)

=====

x wins, 6.8 kJ/mol of atoms ahead of the next structure.

=====

## w
Entry from Alexandria: a relaxed NdS4 crystal (GGA-PBE).

Results
N(E_F)	3.7	states/eV/cell
space-group type	No. 221
spin magnetization	1.00	μB/atom

Cell lengths 5.5438, 5.5438, 5.5438 Å; angles 90.00, 90.00, 90.00 degrees
Last column: magnetic moment on the atom in μB.
Fractional coordinates of all 5 atoms:
S (0.0000, 0.0000, 0.0000)  1.25
S (0.5000, 0.0000, 0.5000)  0.61
S (0.0000, 0.5000, 0.5000)  0.61
S (0.5000, 0.5000, 0.0000)  0.61
Nd (0.5000, 0.5000, 0.5000)  -0.04

=====

## x
Entry from Alexandria: a relaxed NdS4 crystal (GGA-PBE).

Results
N(E_F)	4.0	states/eV/cell
space-group type	No. 87
spin magnetization	0.00	μB/atom

Cell lengths 4.9242, 5.2576, 5.2576 Å; angles 77.33, 62.08, 62.08 degrees
Fractional coordinates of all 5 atoms:
Nd (0.0000, 0.0000, 0.0000)
S (0.2485, 0.2463, 0.2567)
S (0.5052, 0.7433, 0.2463)
S (0.7515, 0.7537, 0.7433)
S (0.4948, 0.2567, 0.7537)

=====

x wins, 68.5 kJ/mol of atoms ahead of the next structure.

=====

## w
Entry from Alexandria: a relaxed Nd3Sb2S crystal (GGA-PBE).

Results
N(E_F)	3.4	states/eV/cell
space-group type	No. 71
spin magnetization	0.00	μB/atom

Cell lengths 6.2439, 8.7498, 7.5887 Å; angles 106.76, 114.29, 90.00 degrees
Fractional coordinates of all 12 atoms:
Nd (0.5002, 0.2500, 0.0000)
Nd (0.4998, 0.7500, 0.0000)
Nd (0.1547, 0.0773, 0.3096)
Nd (0.8450, 0.4227, 0.6904)
Nd (0.1550, 0.5773, 0.3096)
Nd (0.8453, 0.9227, 0.6904)
Sb (0.6714, 0.5857, 0.3424)
Sb (0.6711, 0.0857, 0.3424)
Sb (0.3289, 0.9143, 0.6576)
Sb (0.3286, 0.4143, 0.6576)
S (0.0003, 0.7500, 0.0000)
S (0.9997, 0.2500, 0.0000)

=====

## x
Entry from Alexandria: a relaxed Nd3Sb2S crystal (GGA-PBE).

Results
N(E_F)	5.8	states/eV/cell
space-group type	No. 70
spin magnetization	0.00	μB/atom

Cell lengths 7.5987, 7.5987, 13.8449 Å; angles 100.52, 100.52, 109.54 degrees
Fractional coordinates of all 24 atoms:
Nd (0.1652, 0.6767, 0.8275)
Nd (0.6622, 0.1507, 0.8275)
Nd (0.0848, 0.0733, 0.6725)
Nd (0.5878, 0.5993, 0.6725)
Nd (0.0174, 0.5174, 0.5000)
Nd (0.4826, 0.9826, 0.5000)
Nd (0.4007, 0.4122, 0.3275)
Nd (0.9267, 0.9152, 0.3275)
Nd (0.8493, 0.3378, 0.1725)
Nd (0.3233, 0.8348, 0.1725)
Nd (0.2326, 0.2326, 0.0000)
Nd (0.7674, 0.7674, 0.0000)
Sb (0.9982, 0.4982, 0.9964)
Sb (0.4190, 0.4190, 0.8380)
Sb (0.8310, 0.3310, 0.6620)
Sb (0.2518, 0.2518, 0.5036)
Sb (0.7482, 0.7482, 0.4964)
Sb (0.6690, 0.1690, 0.3380)
Sb (0.5810, 0.5810, 0.1620)
Sb (0.5018, 0.0018, 0.0036)
S (0.9165, 0.9165, 0.8331)
S (0.3335, 0.8335, 0.6669)
S (0.1665, 0.6665, 0.3331)
S (0.0835, 0.0835, 0.1669)

=====

x wins, 0.6 kJ/mol of atoms ahead of the next structure.

=====

## w
Entry from Alexandria: a relaxed Nd3SbS2 crystal (GGA-PBE).

Results
N(E_F)	7.5	states/eV/cell
space-group type	No. 63
spin magnetization	0.00	μB/atom

Cell lengths 6.6636, 7.9147, 7.9147 Å; angles 91.29, 90.00, 90.00 degrees
Fractional coordinates of all 12 atoms:
Nd (0.7500, 0.1060, 0.8940)
Nd (0.7500, 0.2544, 0.4288)
Nd (0.2500, 0.4288, 0.2544)
Nd (0.7500, 0.5712, 0.7456)
Nd (0.2500, 0.7456, 0.5712)
Nd (0.2500, 0.8940, 0.1060)
Sb (0.2500, 0.3541, 0.6459)
Sb (0.7500, 0.6459, 0.3541)
S (0.0000, 0.1660, 0.1660)
S (0.5000, 0.1660, 0.1660)
S (0.0000, 0.8340, 0.8340)
S (0.5000, 0.8340, 0.8340)

=====

## x
Entry from Alexandria: a relaxed Nd3SbS2 crystal (GGA-PBE).

Results
N(E_F)	6.8	states/eV/cell
space-group type	No. 74
spin magnetization	0.00	μB/atom

Cell lengths 8.9544, 8.0417, 8.0417 Å; angles 55.23, 56.17, 56.17 degrees
Fractional coordinates of all 12 atoms:
Nd (0.0000, 0.7288, 0.2712)
Nd (0.0000, 0.2712, 0.7288)
Nd (0.5000, 0.7712, 0.2288)
Nd (0.5000, 0.0000, 0.5000)
Nd (0.5000, 0.5000, 0.0000)
Nd (0.5000, 0.2288, 0.7712)
Sb (0.1878, 0.2500, 0.2500)
Sb (0.8122, 0.7500, 0.7500)
S (0.2640, 0.9454, 0.9454)
S (0.3451, 0.4454, 0.4454)
S (0.6549, 0.5546, 0.5546)
S (0.7360, 0.0546, 0.0546)

=====

x wins, 21.7 kJ/mol of atoms ahead of the next structure.

=====

## w
Entry from Alexandria: a relaxed NdScS2 crystal (GGA-PBE).

Results
N(E_F)	1.7	states/eV/cell
space-group type	No. 166
spin magnetization	0.00	μB/atom

Cell lengths 3.8349, 3.8349, 6.8616 Å; angles 73.77, 73.77, 60.00 degrees
Fractional coordinates of all 4 atoms:
Sc (0.0000, 0.0000, 0.0000)
S (0.2605, 0.2605, 0.2184)
S (0.7395, 0.7395, 0.7816)
Nd (0.5000, 0.5000, 0.5000)

=====

## x
Entry from Alexandria: a relaxed NdScS2 crystal (GGA-PBE).

Results
N(E_F)	2.9	states/eV/cell
space-group type	No. 164
spin magnetization	0.00	μB/atom

Cell lengths 3.7240, 3.7240, 7.0159 Å; angles 90.00, 90.00, 120.00 degrees
Fractional coordinates of all 4 atoms:
Nd (0.0000, 0.5000, 0.5000)
Sc (0.0000, 0.5000, 0.0000)
S (0.6667, 0.8333, 0.7815)
S (0.3333, 0.1667, 0.2185)

=====

## y
Entry from Alexandria: a relaxed NdScS2 crystal (GGA-PBE).

Results
N(E_F)	0.9	states/eV/cell
space-group type	No. 160
spin magnetization	0.00	μB/atom

Cell lengths 3.8027, 3.8027, 7.0412 Å; angles 74.33, 74.33, 60.00 degrees
Fractional coordinates of all 4 atoms:
Nd (0.4954, 0.4954, 0.5139)
Sc (0.6724, 0.6724, 0.9829)
S (0.0724, 0.0724, 0.7827)
S (0.2598, 0.2598, 0.2205)

=====

w wins, 1.6 kJ/mol of atoms ahead of the next structure.

=====

## w
Entry from Alexandria: a relaxed Nd2ScS3 crystal (GGA-PBE).

Results
N(E_F)	3.2	states/eV/cell
space-group type	No. 71
spin magnetization	0.00	μB/atom

Cell lengths 3.8022, 4.7380, 8.2129 Å; angles 106.77, 103.38, 90.00 degrees
Fractional coordinates of all 6 atoms:
Nd (0.6449, 0.6449, 0.2898)
Nd (0.3551, 0.3551, 0.7102)
Sc (0.0000, 0.0000, 0.0000)
S (0.0000, 0.5000, 0.0000)
S (0.8314, 0.8314, 0.6628)
S (0.1686, 0.1686, 0.3372)

=====

## x
Entry from Alexandria: a relaxed Nd2ScS3 crystal (GGA-PBE).

Results
N(E_F)	3.1	states/eV/cell
space-group type	No. 164
spin magnetization	0.00	μB/atom

Cell lengths 3.9246, 3.9246, 9.7823 Å; angles 90.00, 90.00, 120.00 degrees
Fractional coordinates of all 6 atoms:
Nd (0.6667, 0.3333, 0.3242)
Nd (0.3333, 0.6667, 0.6758)
Sc (0.0000, 0.0000, 0.0000)
S (0.6667, 0.3333, 0.8583)
S (0.3333, 0.6667, 0.1417)
S (0.0000, 0.0000, 0.5000)

=====

x wins, 16.3 kJ/mol of atoms ahead of the next structure.

=====

## w
Entry from Alexandria: a relaxed NdSeS crystal (GGA-PBE).

Results
space-group type	No. 71
spin magnetization	0.00	μB/atom

Cell lengths 4.2099, 5.5606, 7.6418 Å; angles 111.34, 105.99, 90.00 degrees
Fractional coordinates of all 6 atoms:
Nd (0.1546, 0.6546, 0.3092)
Nd (0.8454, 0.3454, 0.6908)
Se (0.5000, 0.7171, 0.0000)
Se (0.5000, 0.2829, 0.0000)
S (0.7873, 0.7873, 0.5746)
S (0.2127, 0.2127, 0.4254)

=====

## x
Entry from Alexandria: a relaxed NdSeS crystal (GGA-PBE).

Results
N(E_F)	1.5	states/eV/cell
space-group type	No. 139
spin magnetization	0.00	μB/atom

Cell lengths 4.0560, 4.0560, 8.9416 Å; angles 103.11, 103.11, 90.00 degrees
Fractional coordinates of all 6 atoms:
Nd (0.3547, 0.3547, 0.7094)
Nd (0.6453, 0.6453, 0.2906)
Se (0.0000, 0.5000, 0.0000)
Se (0.5000, 0.0000, 0.0000)
S (0.1843, 0.1843, 0.3686)
S (0.8157, 0.8157, 0.6314)

=====

## y
Entry from Alexandria: a relaxed NdSeS crystal (GGA-PBE).

Results
N(E_F)	2.0	states/eV/cell
space-group type	No. 107
spin magnetization	0.00	μB/atom

Cell lengths 3.8669, 3.8669, 5.4040 Å; angles 110.96, 110.96, 90.00 degrees
Fractional coordinates of all 3 atoms:
S (0.0264, 0.0264, 0.0528)
Nd (0.6595, 0.6595, 0.3190)
Se (0.3141, 0.3141, 0.6282)

=====

w wins, 1.6 kJ/mol of atoms ahead of the next structure.